(1)
VCrReMo after structural relaxation. Source: Alexandria via LeMat-Bulk, functional PBE.

Unit cell a=6.080 b=6.080 c=6.080 alpha=90.00 beta=90.00 gamma=90.00
Space group F-43m (No. 216)
Symmetry-distinct sites (fractional):
V (0.000, 0.000, 0.000) x4
Cr (0.250, 0.250, 0.250) x4
Re (0.250, 0.250, 0.750) x4
Mo (0.000, 0.000, 0.500) x4

Summary:
Total magnetization: 0.019 μB per atom
Calculated volume: 14.045 Å³ per atom

***

(2)
VCrReMo after structural relaxation. Source: Alexandria via LeMat-Bulk, functional PBE.

Unit cell a=3.042 b=4.366 c=8.478 alpha=90.00 beta=90.00 gamma=90.00
Space group Cmm2 (No. 35)
Symmetry-distinct sites (fractional):
V (0.000, 0.000, 0.000) x2
Cr (0.000, 0.500, 0.230) x2
Re (0.000, 0.000, 0.473) x2
Mo (0.000, 0.500, 0.742) x2

Summary:
Total magnetization: 0.000 μB per atom
Calculated volume: 14.076 Å³ per atom

***

The computed energies, referenced to the most stable structure and given in meV per atom, are (1) 0; (2) 109.

***

(1)
CrMoRh3 after structural relaxation. Source: Alexandria via LeMat-Bulk, functional PBE.

Unit cell a=4.636 b=4.636 c=4.636 alpha=90.00 beta=90.00 gamma=90.00
Space group Pm-3m (No. 221)
Symmetry-distinct sites (fractional):
Cr (0.000, 0.000, 0.000) x1
Mo (0.500, 0.500, 0.500) x1
Rh (0.000, 0.500, 0.500) x3

Summary:
Total magnetization: 0.101 μB per atom
Calculated volume: 19.927 Å³ per atom

***

(2)
CrMoRh3 after structural relaxation. Source: Alexandria via LeMat-Bulk, functional PBE.

Unit cell a=4.427 b=4.427 c=4.427 alpha=90.00 beta=90.00 gamma=90.00
Space group Pm-3m (No. 221)
Symmetry-distinct sites (fractional):
Cr (0.000, 0.000, 0.000) x1
Mo (0.500, 0.500, 0.500) x1
Rh (0.000, 0.000, 0.500) x3

Summary:
Total magnetization: 0.785 μB per atom
Calculated volume: 17.350 Å³ per atom

***

The computed energies, referenced to the most stable structure and given in meV per atom, are (1) 483; (2) 0.

***

(1)
CrMoRh after structural relaxation. Source: Alexandria via LeMat-Bulk, functional PBE.

Unit cell a=4.2737 b=4.2737 c=2.6595 alpha=90.00 beta=90.00 gamma=120.00
Space group P3m1 (No. 156)
Symmetry-distinct sites (fractional):
Cr (0.0000, 0.0000, 0.0000) x1
Mo (0.3333, 0.6667, 0.0419) x1
Rh (0.6667, 0.3333, 0.5222) x1

Summary:
Total magnetization: 0.000 μB per atom
Calculated volume: 14.022 Å³ per atom

***

(2)
CrMoRh after structural relaxation. Source: Alexandria via LeMat-Bulk, functional PBE.

Unit cell a=5.754 b=5.754 c=5.754 alpha=90.00 beta=90.00 gamma=90.00
Space group F-43m (No. 216)
Symmetry-distinct sites (fractional):
Cr (0.000, 0.000, 0.000) x4
Mo (0.250, 0.250, 0.750) x4
Rh (0.250, 0.250, 0.250) x4

Summary:
Total magnetization: 0.001 μB per atom
Calculated volume: 15.873 Å³ per atom

***

The computed energies, referenced to the most stable structure and given in meV per atom, are (1) 0; (2) 445.

***

(1)
CrMoRh after structural relaxation. Source: Alexandria via LeMat-Bulk, functional PBE.

Unit cell a=2.669 b=3.789 c=8.344 alpha=90.00 beta=90.00 gamma=90.00
Space group Imm2 (No. 44)
Symmetry-distinct sites (fractional):
Cr (0.000, 0.000, 0.000) x2
Mo (0.000, 0.000, 0.667) x2
Rh (0.000, 0.000, 0.345) x2

Summary:
Total magnetization: 0.165 μB per atom
Calculated volume: 14.062 Å³ per atom

***

(2)
CrMoRh after structural relaxation. Source: Alexandria via LeMat-Bulk, functional PBE.

Unit cell a=2.662 b=2.662 c=11.847 alpha=90.00 beta=90.00 gamma=90.00
Space group I4mm (No. 107)
Symmetry-distinct sites (fractional):
Cr (0.000, 0.000, 0.000) x2
Mo (0.000, 0.000, 0.324) x2
Rh (0.000, 0.000, 0.646) x2

Summary:
Total magnetization: 0.000 μB per atom
Calculated volume: 13.987 Å³ per atom

***

(3)
CrMoRh after structural relaxation. Source: Alexandria via LeMat-Bulk, functional PBE.

Unit cell a=3.067 b=3.067 c=9.071 alpha=90.00 beta=90.00 gamma=90.00
Space group I4mm (No. 107)
Symmetry-distinct sites (fractional):
Cr (0.000, 0.000, 0.000) x2
Mo (0.000, 0.000, 0.361) x2
Rh (0.000, 0.000, 0.675) x2

Summary:
Total magnetization: 0.154 μB per atom
Calculated volume: 14.218 Å³ per atom

***

The computed energies, referenced to the most stable structure and given in meV per atom, are (1) 85; (2) 0; (3) 146.

***

(1)
CrMoRh4 after structural relaxation. Source: Alexandria via LeMat-Bulk, functional PBE.

Unit cell a=6.928 b=4.736 c=5.151 alpha=90.00 beta=95.77 gamma=90.00
Space group P2/c (No. 13)
Symmetry-distinct sites (fractional):
Cr (0.000, 0.074, 0.250) x2
Mo (0.500, 0.421, 0.250) x2
Rh (0.163, 0.410, 0.916) x4
Rh (0.325, 0.080, 0.583) x4

Summary:
Total magnetization: 0.042 μB per atom
Calculated volume: 14.012 Å³ per atom

***

(2)
CrMoRh4 after structural relaxation. Source: Alexandria via LeMat-Bulk, functional PBE.

Unit cell a=4.333 b=2.740 c=14.128 alpha=90.00 beta=90.00 gamma=90.00
Space group Amm2 (No. 38)
Symmetry-distinct sites (fractional):
Cr (0.000, 0.000, 0.000) x2
Mo (0.500, 0.000, 0.776) x2
Rh (0.000, 0.000, 0.335) x2
Rh (0.000, 0.000, 0.660) x2
Rh (0.500, 0.000, 0.110) x2
Rh (0.500, 0.000, 0.446) x2

Summary:
Total magnetization: 0.000 μB per atom
Calculated volume: 13.978 Å³ per atom

***

(3)
CrMoRh4 after structural relaxation. Source: Alexandria via LeMat-Bulk, functional PBE.

Unit cell a=7.168 b=7.168 c=7.168 alpha=90.00 beta=90.00 gamma=90.00
Space group F-43m (No. 216)
Symmetry-distinct sites (fractional):
Cr (0.000, 0.000, 0.000) x4
Mo (0.250, 0.250, 0.750) x4
Rh (0.125, 0.125, 0.375) x16

Summary:
Total magnetization: 0.712 μB per atom
Calculated volume: 15.342 Å³ per atom

***

The computed energies, referenced to the most stable structure and given in meV per atom, are (1) 43; (2) 0; (3) 428.

***

(1)
CrMo2Ru after structural relaxation. Source: Alexandria via LeMat-Bulk, functional PBE.

Unit cell a=2.690 b=2.690 c=8.050 alpha=90.00 beta=90.00 gamma=90.00
Space group P4mm (No. 99)
Symmetry-distinct sites (fractional):
Cr (0.000, 0.000, 0.000) x1
Mo (0.000, 0.000, 0.537) x1
Mo (0.500, 0.500, 0.250) x1
Ru (0.500, 0.500, 0.795) x1

Summary:
Total magnetization: 0.000 μB per atom
Calculated volume: 14.561 Å³ per atom

***

(2)
CrMo2Ru after structural relaxation. Source: Alexandria via LeMat-Bulk, functional PBE.

Unit cell a=2.701 b=4.288 c=5.094 alpha=90.00 beta=100.79 gamma=90.00
Space group Pm (No. 6)
Symmetry-distinct sites (fractional):
Cr (0.000, 0.000, 0.000) x1
Mo (0.569, 0.000, 0.499) x1
Mo (0.795, 0.500, 0.228) x1
Ru (0.280, 0.500, 0.743) x1

Summary:
Total magnetization: 0.000 μB per atom
Calculated volume: 14.485 Å³ per atom

***

The computed energies, referenced to the most stable structure and given in meV per atom, are (1) 30; (2) 0.

***

(1)
CrMo2Ru after structural relaxation. Source: Alexandria via LeMat-Bulk, functional PBE.

Unit cell a=3.401 b=4.160 c=8.210 alpha=90.00 beta=90.00 gamma=90.00
Space group Cmm2 (No. 35)
Symmetry-distinct sites (fractional):
Cr (0.000, 0.000, 0.000) x2
Mo (0.000, 0.000, 0.528) x2
Mo (0.000, 0.500, 0.250) x2
Ru (0.000, 0.500, 0.787) x2

Summary:
Total magnetization: 0.000 μB per atom
Calculated volume: 14.518 Å³ per atom

***

(2)
CrMo2Ru after structural relaxation. Source: Alexandria via LeMat-Bulk, functional PBE.

Unit cell a=3.051 b=4.392 c=8.638 alpha=90.00 beta=90.00 gamma=90.00
Space group Imm2 (No. 44)
Symmetry-distinct sites (fractional):
Cr (0.000, 0.000, 0.000) x2
Mo (0.000, 0.000, 0.479) x2
Mo (0.000, 0.500, 0.727) x2
Ru (0.000, 0.500, 0.244) x2

Summary:
Total magnetization: 0.000 μB per atom
Calculated volume: 14.469 Å³ per atom

***

(3)
CrMo2Ru after structural relaxation. Source: Alexandria via LeMat-Bulk, functional PBE.

Unit cell a=2.727 b=2.727 c=7.835 alpha=90.00 beta=90.00 gamma=90.00
Space group P4/mmm (No. 123)
Symmetry-distinct sites (fractional):
Cr (0.000, 0.000, 0.000) x1
Mo (0.500, 0.500, 0.249) x2
Ru (0.000, 0.000, 0.500) x1

Summary:
Total magnetization: 0.110 μB per atom
Calculated volume: 14.569 Å³ per atom

***

(4)
CrMo2Ru after structural relaxation. Source: Alexandria via LeMat-Bulk, functional PBE.

Unit cell a=3.826 b=3.826 c=8.049 alpha=90.00 beta=90.00 gamma=90.00
Space group I4/mmm (No. 139)
Symmetry-distinct sites (fractional):
Cr (0.000, 0.000, 0.000) x2
Mo (0.000, 0.500, 0.250) x4
Ru (0.000, 0.000, 0.500) x2

Summary:
Total magnetization: 0.506 μB per atom
Calculated volume: 14.730 Å³ per atom

***

The computed energies, referenced to the most stable structure and given in meV per atom, are (1) 25; (2) 0; (3) 114; (4) 93.

***

(1)
CrMo2Ru after structural relaxation. Source: Alexandria via LeMat-Bulk, functional PBE.

Unit cell a=6.170 b=6.170 c=6.170 alpha=90.00 beta=90.00 gamma=90.00
Space group F-43m (No. 216)
Symmetry-distinct sites (fractional):
Cr (0.000, 0.000, 0.000) x4
Mo (0.000, 0.000, 0.500) x4
Mo (0.250, 0.250, 0.250) x4
Ru (0.250, 0.250, 0.750) x4

Summary:
Total magnetization: 0.514 μB per atom
Calculated volume: 14.678 Å³ per atom

***

(2)
CrMo2Ru after structural relaxation. Source: Alexandria via LeMat-Bulk, functional PBE.

Unit cell a=4.392 b=4.392 c=3.006 alpha=90.00 beta=90.00 gamma=90.00
Space group P4/mmm (No. 123)
Symmetry-distinct sites (fractional):
Cr (0.000, 0.000, 0.000) x1
Mo (0.000, 0.500, 0.500) x2
Ru (0.500, 0.500, 0.000) x1

Summary:
Total magnetization: 0.000 μB per atom
Calculated volume: 14.498 Å³ per atom

***

(3)
CrMo2Ru after structural relaxation. Source: Alexandria via LeMat-Bulk, functional PBE.

Unit cell a=2.7185 b=2.7185 c=27.4663 alpha=90.00 beta=90.00 gamma=120.00
Space group R3m (No. 160, hexagonal axes)
Symmetry-distinct sites (fractional):
Cr (0.0000, 0.0000, 0.0000) x3
Mo (0.0000, 0.0000, 0.2501) x3
Mo (0.0000, 0.0000, 0.4925) x3
Ru (0.0000, 0.0000, 0.7401) x3

Summary:
Total magnetization: 0.000 μB per atom
Calculated volume: 14.649 Å³ per atom

***

(4)
CrMo2Ru after structural relaxation. Source: Alexandria via LeMat-Bulk, functional PBE.

Unit cell a=3.096 b=4.335 c=4.367 alpha=90.00 beta=90.00 gamma=90.00
Space group Pmmm (No. 47)
Symmetry-distinct sites (fractional):
Cr (0.000, 0.000, 0.000) x1
Mo (0.000, 0.500, 0.500) x1
Mo (0.500, 0.500, 0.000) x1
Ru (0.500, 0.000, 0.500) x1

Summary:
Total magnetization: 0.443 μB per atom
Calculated volume: 14.652 Å³ per atom

***

The computed energies, referenced to the most stable structure and given in meV per atom, are (1) 17; (2) 58; (3) 166; (4) 0.

***

(1)
CrMo2Ru after structural relaxation. Source: Alexandria via LeMat-Bulk, functional PBE.

Unit cell a=2.7375 b=2.7375 c=27.1406 alpha=90.00 beta=90.00 gamma=120.00
Space group R-3m (No. 166, hexagonal axes)
Symmetry-distinct sites (fractional):
Cr (0.0000, 0.0000, 0.0000) x3
Mo (0.0000, 0.0000, 0.2504) x6
Ru (0.0000, 0.0000, 0.5000) x3

Summary:
Total magnetization: 0.384 μB per atom
Calculated volume: 14.678 Å³ per atom

***

(2)
CrMo2Ru after structural relaxation. Source: Alexandria via LeMat-Bulk, functional PBE.

Unit cell a=2.782 b=3.792 c=5.534 alpha=90.00 beta=90.00 gamma=90.00
Space group Pmmm (No. 47)
Symmetry-distinct sites (fractional):
Cr (0.000, 0.000, 0.000) x1
Mo (0.500, 0.500, 0.248) x2
Ru (0.000, 0.000, 0.500) x1

Summary:
Total magnetization: 0.299 μB per atom
Calculated volume: 14.597 Å³ per atom

***

The computed energies, referenced to the most stable structure and given in meV per atom, are (1) 84; (2) 0.

***

(1)
CrMoRu2 after structural relaxation. Source: Alexandria via LeMat-Bulk, functional PBE.

Unit cell a=3.856 b=3.856 c=7.522 alpha=90.00 beta=90.00 gamma=90.00
Space group I4/mmm (No. 139)
Symmetry-distinct sites (fractional):
Cr (0.000, 0.000, 0.000) x2
Mo (0.000, 0.000, 0.500) x2
Ru (0.000, 0.500, 0.250) x4

Summary:
Total magnetization: 0.000 μB per atom
Calculated volume: 13.977 Å³ per atom

***

(2)
CrMoRu2 after structural relaxation. Source: Alexandria via LeMat-Bulk, functional PBE.

Unit cell a=2.733 b=3.761 c=5.458 alpha=90.00 beta=90.00 gamma=90.00
Space group Pmm2 (No. 25)
Symmetry-distinct sites (fractional):
Cr (0.000, 0.000, 0.000) x1
Mo (0.500, 0.500, 0.269) x1
Ru (0.000, 0.000, 0.517) x1
Ru (0.500, 0.500, 0.789) x1

Summary:
Total magnetization: 0.000 μB per atom
Calculated volume: 14.024 Å³ per atom

***

The computed energies, referenced to the most stable structure and given in meV per atom, are (1) 0; (2) 42.

***

(1)
CrMoRu2 after structural relaxation. Source: Alexandria via LeMat-Bulk, functional PBE.

Unit cell a=5.472 b=7.495 c=2.742 alpha=90.00 beta=90.00 gamma=90.00
Space group Cmmm (No. 65)
Symmetry-distinct sites (fractional):
Cr (0.000, 0.000, 0.000) x2
Mo (0.000, 0.500, 0.000) x2
Ru (0.250, 0.250, 0.500) x4

Summary:
Total magnetization: 0.217 μB per atom
Calculated volume: 14.059 Å³ per atom

***

(2)
CrMoRu2 after structural relaxation. Source: Alexandria via LeMat-Bulk, functional PBE.

Unit cell a=3.057 b=3.057 c=6.085 alpha=90.00 beta=90.00 gamma=90.00
Space group P4mm (No. 99)
Symmetry-distinct sites (fractional):
Cr (0.000, 0.000, 0.000) x1
Mo (0.500, 0.500, 0.271) x1
Ru (0.000, 0.000, 0.515) x1
Ru (0.500, 0.500, 0.821) x1

Summary:
Total magnetization: 0.000 μB per atom
Calculated volume: 14.217 Å³ per atom

***

The computed energies, referenced to the most stable structure and given in meV per atom, are (1) 0; (2) 62.

***

(1)
CrMoRu after structural relaxation. Source: Alexandria via LeMat-Bulk, functional PBE.

Unit cell a=4.2447 b=4.2447 c=2.6922 alpha=90.00 beta=90.00 gamma=120.00
Space group P3m1 (No. 156)
Symmetry-distinct sites (fractional):
Cr (0.0000, 0.0000, 0.0000) x1
Mo (0.6667, 0.3333, 0.2385) x1
Ru (0.3333, 0.6667, 0.6296) x1

Summary:
Total magnetization: 0.000 μB per atom
Calculated volume: 14.003 Å³ per atom

***

(2)
CrMoRu after structural relaxation. Source: Alexandria via LeMat-Bulk, functional PBE.

Unit cell a=2.727 b=3.739 c=8.253 alpha=90.00 beta=90.00 gamma=90.00
Space group Imm2 (No. 44)
Symmetry-distinct sites (fractional):
Cr (0.000, 0.000, 0.000) x2
Mo (0.000, 0.000, 0.672) x2
Ru (0.000, 0.000, 0.349) x2

Summary:
Total magnetization: 0.001 μB per atom
Calculated volume: 14.022 Å³ per atom

***

The computed energies, referenced to the most stable structure and given in meV per atom, are (1) 0; (2) 10.